Compound: NaCr2PF
Source: Alexandria
Functional: PBE+U
Structure: relaxed

Values from the calculation:
**D(E_F)**: 1.5162 states/eV/atom
**Space group**: P4/mmm (123)
**E_tot**: -4.883 eV per atom
**Crystal system**: tetragonal
**Magnetization**: 1.79 μB/atom

Geometry as CIF:
```
data_NaCr2PF
_symmetry_space_group_name_H-M 'P 1'
_symmetry_Int_Tables_number 1
_symmetry_space_group_name_Hall 'P 1'
_cell_length_a 4.622
_cell_length_b 4.622
_cell_length_c 6.596
_cell_angle_alpha 90.00
_cell_angle_beta 90.00
_cell_angle_gamma 90.00
loop_
_atom_site_label
_atom_site_fract_x
_atom_site_fract_y
_atom_site_fract_z
Na1 0.000 0.000 0.000
Cr1 0.000 0.500 0.500
Cr2 0.500 0.000 0.500
P1 0.500 0.500 0.500
F1 0.500 0.500 0.000
```